Entry 1:
Material: Zn11Cu9Ni4
Method: DFT, PBE
State: optimized geometry

Space-group type: Cmmm (65)
DFT formation energy in meV per atom: -90

a = 2.6519 Å, b = 11.2799 Å, c = 11.2799 Å
α = 114.36°, β = 90.00°, γ = 90.00°
With the nearest neighbours (Å) after each atom.
Fractional positions:
Cu  0.5000  0.6141  0.1728  8 Zn 2.57-2.72, 1 Ni 2.60, 3 Cu 2.61-2.65
Zn  0.0000  0.2339  0.2339  4 Ni 2.46, 4 Cu 2.63, 2 Zn 2.65
Cu  0.5000  0.3859  0.8272  8 Zn 2.57-2.72, 1 Ni 2.60, 3 Cu 2.61-2.65
Cu  0.5000  0.5000  0.5000  4 Zn 2.63, 2 Cu 2.65, 4 Ni 2.65
Ni  0.5000  0.5781  0.7565  6 Zn 2.46-2.55, 3 Cu 2.60-2.70, 2 Ni 2.65
Zn  0.0000  0.3801  0.6199  4 Ni 2.51, 6 Cu 2.63-2.67, 2 Zn 2.65
Zn  0.0000  0.1844  0.8156  8 Cu 2.59-2.61, 4 Zn 2.65-2.75
Cu  0.5000  0.9783  0.7983  8 Zn 2.56-2.63, 3 Cu 2.65-2.73, 1 Ni 2.70
Zn  0.0000  0.4052  0.0445  2 Ni 2.55, 6 Cu 2.57-2.72, 4 Zn 2.65-2.75
Zn  0.0000  0.6199  0.3801  4 Ni 2.51, 6 Cu 2.63-2.67, 2 Zn 2.65
Zn  0.0000  0.0445  0.4052  2 Ni 2.55, 6 Cu 2.57-2.72, 4 Zn 2.65-2.75
Zn  0.0000  0.5948  0.9555  2 Ni 2.55, 6 Cu 2.57-2.72, 4 Zn 2.65-2.75
Cu  0.5000  0.1728  0.6141  8 Zn 2.57-2.72, 1 Ni 2.60, 3 Cu 2.61-2.65
Cu  0.5000  0.2017  0.0217  8 Zn 2.56-2.63, 3 Cu 2.65-2.73, 1 Ni 2.70
Ni  0.5000  0.7565  0.5781  6 Zn 2.46-2.55, 3 Cu 2.60-2.70, 2 Ni 2.65
Cu  0.5000  0.7983  0.9783  8 Zn 2.56-2.63, 3 Cu 2.65-2.73, 1 Ni 2.70
Cu  0.5000  0.0217  0.2017  8 Zn 2.56-2.63, 3 Cu 2.65-2.73, 1 Ni 2.70
Zn  0.0000  0.9555  0.5948  2 Ni 2.55, 6 Cu 2.57-2.72, 4 Zn 2.65-2.75
Zn  0.0000  0.8156  0.1844  8 Cu 2.59-2.61, 4 Zn 2.65-2.75
Ni  0.5000  0.4219  0.2435  6 Zn 2.46-2.55, 3 Cu 2.60-2.70, 2 Ni 2.65
Zn  0.0000  0.7661  0.7661  4 Ni 2.46, 4 Cu 2.63, 2 Zn 2.65
Ni  0.5000  0.2435  0.4219  6 Zn 2.46-2.55, 3 Cu 2.60-2.70, 2 Ni 2.65
Zn  0.0000  0.0000  0.0000  8 Cu 2.56, 4 Zn 2.65-2.86
Cu  0.5000  0.8272  0.3859  8 Zn 2.57-2.72, 1 Ni 2.60, 3 Cu 2.61-2.65

Entry 2:
Material: Tm2PaCo3
Method: DFT, PBE
State: optimized geometry

Excess energy over the best structure of this formula in the dataset in eV/atom: 0.0000
Space-group type: Pnma (62)
DFT formation energy in meV per atom: -277

a = 3.6574 Å, b = 6.2820 Å, c = 19.5336 Å
α = 90.00°, β = 90.00°, γ = 90.00°
With the nearest neighbours (Å) after each atom.
Fractional positions:
Tm  0.7500  0.8832  0.0730  6 Co 2.85-2.95
Co  0.7500  0.3516  0.0093  3 Pa 2.50-2.71, 2 Co 2.64
Co  0.7500  0.9166  0.8285  1 Pa 2.32
Co  0.2500  0.5834  0.3285  1 Pa 2.32
Co  0.7500  0.8516  0.4907  3 Pa 2.50-2.71, 2 Co 2.64
Tm  0.2500  0.1168  0.9270  6 Co 2.85-2.95
Tm  0.7500  0.8703  0.2576  8 Co 2.82-2.98, 2 Tm 3.16
Co  0.2500  0.1652  0.3318  1 Pa 2.33
Tm  0.2500  0.1297  0.7424  8 Co 2.82-2.98, 2 Tm 3.16
Pa  0.2500  0.8691  0.4035  4 Co 2.32-2.50
Pa  0.7500  0.6309  0.9035  4 Co 2.32-2.50
Tm  0.7500  0.3703  0.2424  8 Co 2.82-2.98, 2 Tm 3.16
Pa  0.7500  0.1309  0.5965  4 Co 2.32-2.50
Co  0.2500  0.1484  0.5093  3 Pa 2.50-2.71, 2 Co 2.64
Co  0.2500  0.0834  0.1715  1 Pa 2.32
Co  0.7500  0.3348  0.8318  1 Pa 2.33
Tm  0.2500  0.6168  0.5730  6 Co 2.85-2.95
Pa  0.2500  0.3691  0.0965  4 Co 2.32-2.50
Co  0.2500  0.6652  0.1682  1 Pa 2.33
Co  0.7500  0.4166  0.6715  1 Pa 2.32
Co  0.2500  0.6484  0.9907  3 Pa 2.50-2.71, 2 Co 2.64
Tm  0.7500  0.3832  0.4270  6 Co 2.85-2.95
Tm  0.2500  0.6297  0.7576  8 Co 2.82-2.98, 2 Tm 3.16
Co  0.7500  0.8348  0.6682  1 Pa 2.33

Going through the records in order, we get E values of -76.16; -165.67 eV/cell.